Compound: Th2NiPd3
Source: Alexandria
Functional: PBE-GGA
Structure: relaxed

POSCAR file:
```
Th2NiPd3
1.0
0.000 4.892 7.088
3.687 0.000 7.088
3.687 4.892 0.000
Th Ni Pd
4 2 6
Direct
0.246 0.754 0.754
0.250 0.250 0.250
0.750 0.750 0.750
0.754 0.246 0.246
0.148 0.148 0.852
0.852 0.852 0.148
0.151 0.660 0.340
0.330 0.330 0.670
0.340 0.849 0.151
0.660 0.151 0.849
0.670 0.670 0.330
0.849 0.340 0.660
```

Calculated values
**Energy relative to the elements**: -666 meV per atom
**DOS(E_F)**: 8.630 states/eV per cell

***

Compound: ThNi5Pd
Source: Alexandria
Functional: PBE-GGA
Structure: relaxed

POSCAR file:
```
ThNi5Pd
1.0
7.932 0.000 0.000
0.000 4.919 0.000
0.000 0.000 10.212
Th Ni Pd
4 20 4
Direct
0.241 0.250 0.061
0.259 0.750 0.561
0.741 0.250 0.439
0.759 0.750 0.939
0.061 0.750 0.108
0.071 0.001 0.316
0.071 0.499 0.316
0.100 0.250 0.520
0.181 0.250 0.750
0.319 0.750 0.250
0.400 0.750 0.020
0.429 0.501 0.816
0.429 0.999 0.816
0.439 0.250 0.608
0.561 0.750 0.392
0.571 0.001 0.184
0.571 0.499 0.184
0.600 0.250 0.980
0.681 0.250 0.750
0.819 0.750 0.250
0.900 0.750 0.480
0.929 0.501 0.684
0.929 0.999 0.684
0.939 0.250 0.892
0.135 0.750 0.859
0.365 0.250 0.359
0.635 0.750 0.641
0.865 0.250 0.141
```

Calculated values
**Energy relative to the elements**: -342 meV per atom
**DOS(E_F)**: 37.107 states/eV per cell

***

Compound: Th4NiPd3
Source: Alexandria
Functional: PBE-GGA
Structure: relaxed

POSCAR file:
```
Th4NiPd3
1.0
3.850 0.000 0.000
0.000 4.494 0.000
0.000 0.000 11.129
Th Ni Pd
4 1 3
Direct
0.000 0.000 0.000
0.000 0.500 0.267
0.500 0.000 0.475
0.500 0.500 0.763
0.500 0.000 0.210
0.000 0.000 0.720
0.000 0.500 0.545
0.500 0.500 0.043
```

Calculated values
**Energy relative to the elements**: -654 meV per atom
**DOS(E_F)**: 8.107 states/eV per cell